1.
PuFe2Ni | GGA-PBE | relaxed

Unit cell a=2.488 b=2.488 c=8.476 alpha=90.00 beta=90.00 gamma=90.00
Element x y z (fractional)
Fe 0.000 0.000 0.211
Fe 0.000 0.000 0.789
Ni 0.500 0.500 0.000
Pu 0.500 0.500 0.500

ΔE_f   0.22 eV per atom
Spin magnetization   6.0 μB/f.u.

2.
RbAgH3 | GGA-PBE | relaxed

Unit cell a=4.811 b=4.811 c=4.811 alpha=90.00 beta=90.00 gamma=90.00
Element x y z (fractional)
H 0.500 0.000 0.000
H 0.000 0.000 0.500
H 0.000 0.500 0.000
Ag 0.500 0.500 0.500
Rb 0.000 0.000 0.000

Spin magnetization   1.0 μB/f.u.
DFT total energy   -7.84 eV per formula unit

3.
Tb4Sm15Sc | GGA-PBE | relaxed

Unit cell a=5.093 b=5.093 c=25.379 alpha=90.00 beta=90.00 gamma=90.00
Element x y z (fractional)
Sm 0.000 0.500 0.097
Sm 0.500 0.500 0.803
Sm 0.000 0.500 0.298
Sm 0.000 0.500 0.500
Sm 0.500 0.000 0.903
Sm 0.500 0.000 0.298
Sm 0.500 0.000 0.702
Sm 0.500 0.500 0.000
Sm 0.500 0.500 0.197
Sm 0.500 0.500 0.399
Sm 0.500 0.000 0.500
Sm 0.000 0.500 0.702
Sm 0.000 0.500 0.903
Sm 0.500 0.000 0.097
Sm 0.500 0.500 0.601
Tb 0.000 0.000 0.802
Tb 0.000 0.000 0.601
Tb 0.000 0.000 0.198
Tb 0.000 0.000 0.399
Sc 0.000 0.000 0.000

ΔE_f   0.02 eV per atom
Spin magnetization   0.0 μB/f.u.

4.
Ba8SiAg2 | GGA-PBE | relaxed

Unit cell a=7.624 b=9.008 c=9.008 alpha=111.95 beta=101.72 gamma=101.72
Element x y z (fractional)
Si 0.220 0.008 0.008
Ag 0.481 0.690 0.324
Ag 0.481 0.324 0.690
Ba 0.175 0.344 0.344
Ba 0.984 0.805 0.188
Ba 0.798 0.659 0.659
Ba 0.355 0.662 0.926
Ba 0.582 0.084 0.344
Ba 0.355 0.926 0.662
Ba 0.582 0.344 0.084
Ba 0.984 0.188 0.805

Uncorrected formation energy   -0.102 eV/atom
Spin magnetization   0.0 μB/f.u.

5.
Te3Se | GGA-PBE | relaxed

Unit cell a=4.719 b=4.719 c=4.719 alpha=90.00 beta=90.00 gamma=90.00
Element x y z (fractional)
Se 0.000 0.000 0.000
Te 0.500 0.500 0.000
Te 0.500 0.000 0.500
Te 0.000 0.500 0.500

Uncorrected formation energy   0.473 eV/atom
Spin magnetization   0.0 μB/f.u.

6.
ReAg | GGA-PBE | relaxed

Unit cell a=2.742 b=6.420 c=3.997 alpha=90.00 beta=90.00 gamma=77.67
Element x y z (fractional)
Re 0.207 0.586 0.750
Re 0.793 0.414 0.250
Ag 0.429 0.143 0.750
Ag 0.571 0.857 0.250

ΔE_f   0.62 eV per atom
Spin magnetization   0.0 μB/f.u.

- Among the records above, which one has the highest spin magnetization?
  PuFe2Ni

- Which value of spin magnetization does entry 3 give?
  0.0 μB/f.u.